Entry from Alexandria: a relaxed LiTeSe crystal (GGA-PBE).

For the density of states at the Fermi level, the calculation gives 0.7 states/eV/f.u. The calculation puts the total magnetic moment at 0.0 μB per cell. The space-group type is I4mm. The value obtained for the uncorrected formation energy is -0.496 eV/atom. The calculation puts the energy relative to the lowest polymorph listed for this composition at 0 meV/atom.

The structure in extended XYZ format:
```
3
Lattice="-5.3159 -2.5773 -1.5702 -4.0828 -2.9165 3.4916 3.4698 5.0061 -0.5153" Properties=species:S:1:pos:R:3 pbc="T T T"
Li -0.3893 -0.2276 0.0796
Se -5.5877 -3.2662 1.1423
Te -3.4217 -2.0001 0.6995
```


Entry from Alexandria: a relaxed LiTeSe crystal (GGA-PBE).

For the density of states at the Fermi level, the calculation gives 2.2 states/eV/f.u. The calculation puts the total magnetic moment at 0.0 μB per cell. The space-group type is P3m1. The value obtained for the uncorrected formation energy is -0.248 eV/atom. The calculation puts the energy relative to the lowest polymorph listed for this composition at 248 meV/atom.

The structure in extended XYZ format:
```
3
Lattice="-3.1855 2.6179 -1.0649 -0.2423 -2.3053 3.5724 1.9142 3.2298 2.2140" Properties=species:S:1:pos:R:3 pbc="T T T"
Li 0.1349 0.2277 0.1561
Se -1.7666 1.7157 0.9873
Te 0.1180 1.5991 3.5781
```


Entry from Alexandria: a relaxed Li2TeSe crystal (GGA-PBE).

For the density of states at the Fermi level, the calculation gives 1.1 states/eV/f.u. The calculation puts the total magnetic moment at 0.0 μB per cell. The space-group type is P2/m. The value obtained for the uncorrected formation energy is -0.722 eV/atom. The calculation puts the energy relative to the lowest polymorph listed for this composition at 61 meV/atom.

The structure in extended XYZ format:
```
4
Lattice="-0.2867 -3.2666 -1.6804 1.4216 -1.9002 3.4514 -4.5031 -1.4878 3.6604" Properties=species:S:1:pos:R:3 pbc="T T T"
Li 0.0243 -0.1571 0.3012
Li -1.5650 -1.5369 3.2547
Se -0.9137 -2.4803 0.9377
Te -2.4545 -4.1743 4.4936
```


Entry from Alexandria: a relaxed LiTeSe2 crystal (GGA-PBE).

For the density of states at the Fermi level, the calculation gives 2.6 states/eV/f.u. The calculation puts the total magnetic moment at 0.0 μB per cell. The space-group type is R-3m. The value obtained for the uncorrected formation energy is -0.197 eV/atom.

The structure in extended XYZ format:
```
4
Lattice="-7.6740 -3.1049 3.8106 -6.5030 -0.9920 6.3071 -8.3414 0.3009 3.6582" Properties=species:S:1:pos:R:3 pbc="T T T"
Te 0.0000 0.0000 0.0000
Se -20.2379 -3.4115 12.3808
Se -2.2805 -0.3844 1.3951
Li -11.2592 -1.8980 6.8880
```


Entry from Alexandria: a relaxed LiTeSe3 crystal (GGA-PBE).

For the density of states at the Fermi level, the calculation gives 1.2 states/eV/f.u. The calculation puts the total magnetic moment at 0.0 μB per cell. The space-group type is P2_1/m. The value obtained for the uncorrected formation energy is -0.281 eV/atom. The calculation puts the energy relative to the lowest polymorph listed for this composition at 0 meV/atom.

The structure in extended XYZ format:
```
10
Lattice="-1.3670 3.6967 1.4656 -7.0336 -0.5723 -5.1167 -3.2184 -3.2533 5.2037" Properties=species:S:1:pos:R:3 pbc="T T T"
Li -2.8502 0.0618 0.2019
Li -8.7688 -0.1907 1.3508
Te -7.1946 -0.6705 -2.0028
Te -4.4244 0.5416 3.5555
Se -6.6909 0.9615 0.3827
Se -4.9280 -1.0904 1.1699
Se -3.1578 2.5551 -0.3415
Se -9.4734 -2.1615 -0.3679
Se -8.4612 -2.6840 1.8941
Se -2.1455 2.0326 1.9205
```


Entry from Alexandria: a relaxed Li2Te2Se crystal (GGA-PBE).

For the density of states at the Fermi level, the calculation gives 1.9 states/eV/f.u. The calculation puts the total magnetic moment at 0.0 μB per cell. The space-group type is P4/mbm. The value obtained for the uncorrected formation energy is -0.441 eV/atom.

The structure in extended XYZ format:
```
10
Lattice="-4.0656 -6.3762 -2.2677 3.1549 -4.1261 5.9455 -2.9975 1.0792 2.3396" Properties=species:S:1:pos:R:3 pbc="T T T"
Te 1.2877 -5.4048 4.1430
Te -1.1754 -8.0302 2.1983
Te -2.1984 -5.0975 -0.4652
Te 0.2647 -2.4721 1.4795
Se 0.0000 0.0000 0.0000
Se -0.4553 -5.2512 1.8389
Li -0.0415 -2.9103 4.6282
Li -1.3301 -7.0718 4.8969
Li -3.8666 -6.5128 1.3892
Li -2.5781 -2.3514 1.1205
```